{"formula": "Er3CoI3", "functional": "PBE", "state": "relaxed", "cell": [[8.817, 0.000, 0.000], [0.000, 4.098, 0.000], [-0.753, 0.000, 12.223]], "species": ["Er", "Er", "Er", "Er", "Er", "Er", "Co", "Co", "I", "I", "I", "I", "I", "I"], "frac_coords": [[0.093, 0.250, 0.307], [0.134, 0.250, 0.876], [0.247, 0.750, 0.097], [0.753, 0.250, 0.903], [0.866, 0.750, 0.124], [0.907, 0.750, 0.693], [0.048, 0.250, 0.088], [0.952, 0.750, 0.912], [0.144, 0.250, 0.610], [0.349, 0.750, 0.358], [0.423, 0.750, 0.868], [0.577, 0.250, 0.132], [0.651, 0.250, 0.642], [0.856, 0.750, 0.390]], "dos_ef_per_ev_fu": 2.7, "m_tot_mub_per_cell": 0.0, "total_energy_ha_per_atom": -0.1673}

{"formula": "Er7CoI12", "functional": "PBE", "state": "relaxed", "cell": [[7.776, 4.490, 3.630], [-7.776, 4.490, 3.630], [0.000, -8.980, 3.630]], "species": ["Er", "Er", "Er", "Er", "Er", "Er", "Er", "Co", "I", "I", "I", "I", "I", "I", "I", "I", "I", "I", "I", "I"], "frac_coords": [[0.000, 0.000, 0.000], [0.215, 0.409, 0.479], [0.409, 0.479, 0.215], [0.479, 0.215, 0.409], [0.521, 0.785, 0.591], [0.591, 0.521, 0.785], [0.785, 0.591, 0.521], [0.500, 0.500, 0.500], [0.037, 0.338, 0.114], [0.114, 0.037, 0.338], [0.176, 0.723, 0.570], [0.277, 0.430, 0.824], [0.338, 0.114, 0.037], [0.430, 0.824, 0.277], [0.570, 0.176, 0.723], [0.662, 0.886, 0.963], [0.723, 0.570, 0.176], [0.824, 0.277, 0.430], [0.886, 0.963, 0.662], [0.963, 0.662, 0.886]], "m_tot_mub_per_cell": 0.0, "total_energy_ha_per_atom": -0.1494}

{"formula": "Er2CoI", "functional": "PBE", "state": "relaxed", "cell": [[3.999, 0.000, 0.000], [-1.999, 3.463, 0.000], [0.000, 0.000, 26.149]], "species": ["Er", "Er", "Er", "Er", "Er", "Er", "Co", "Co", "Co", "I", "I", "I"], "frac_coords": [[0.000, 0.000, 0.115], [0.000, 0.000, 0.885], [0.333, 0.667, 0.552], [0.333, 0.667, 0.782], [0.667, 0.333, 0.218], [0.667, 0.333, 0.448], [0.000, 0.000, 0.500], [0.333, 0.667, 0.167], [0.667, 0.333, 0.833], [0.000, 0.000, 0.000], [0.333, 0.667, 0.667], [0.667, 0.333, 0.333]], "dos_ef_per_ev_fu": 0.8, "m_tot_mub_per_cell": 0.0, "total_energy_ha_per_atom": -0.1792}

{"formula": "NdErCoI", "functional": "PBE", "state": "relaxed", "cell": [[3.983, 0.000, 0.000], [-1.991, 3.449, 0.000], [0.000, 0.000, 23.977]], "species": ["Nd", "Nd", "Nd", "Er", "Er", "Er", "Co", "Co", "Co", "I", "I", "I"], "frac_coords": [[0.000, 0.000, 0.000], [0.333, 0.667, 0.667], [0.667, 0.333, 0.333], [0.000, 0.000, 0.214], [0.333, 0.667, 0.880], [0.667, 0.333, 0.547], [0.000, 0.000, 0.605], [0.333, 0.667, 0.271], [0.667, 0.333, 0.938], [0.000, 0.000, 0.777], [0.333, 0.667, 0.444], [0.667, 0.333, 0.111]], "dos_ef_per_ev_fu": 0.7, "m_tot_mub_per_cell": 0.0, "total_energy_ha_per_atom": -0.1859}

Please write out number 3 again, unchanged.
{"formula": "Er2CoI", "functional": "PBE", "state": "relaxed", "cell": [[3.999, 0.000, 0.000], [-1.999, 3.463, 0.000], [0.000, 0.000, 26.149]], "species": ["Er", "Er", "Er", "Er", "Er", "Er", "Co", "Co", "Co", "I", "I", "I"], "frac_coords": [[0.000, 0.000, 0.115], [0.000, 0.000, 0.885], [0.333, 0.667, 0.552], [0.333, 0.667, 0.782], [0.667, 0.333, 0.218], [0.667, 0.333, 0.448], [0.000, 0.000, 0.500], [0.333, 0.667, 0.167], [0.667, 0.333, 0.833], [0.000, 0.000, 0.000], [0.333, 0.667, 0.667], [0.667, 0.333, 0.333]], "dos_ef_per_ev_fu": 0.8, "m_tot_mub_per_cell": 0.0, "total_energy_ha_per_atom": -0.1792}